# 1
The following is a DFT calculation (GGA-PBEsol) of BaTl3 after structural relaxation.

Symmetry: No. 225
M_tot (μB/f.u.): 0.00
Formation energy from the elements (kJ per mole of atoms): -29.81

Unit cell a=5.5919 b=5.5919 c=5.5919 alpha=60.00 beta=60.00 gamma=60.00
With the nearest neighbours (Å) after each atom.
Atoms (fractional coordinates):
Tl: 0.2500 0.2500 0.2500  4 Ba 3.42, 4 Tl 3.42
Tl: 0.5000 0.5000 0.5000  8 Tl 3.42
Tl: 0.7500 0.7500 0.7500  4 Tl 3.42, 4 Ba 3.42
Ba: 0.0000 0.0000 0.0000  8 Tl 3.42

=====

# 2
The following is a DFT calculation (GGA-PBEsol) of NbGaS2Cl after structural relaxation.

Formation energy without anion corrections (eV/atom): -0.559
Symmetry: No. 123
M_tot (μB/f.u.): 0.00

Unit cell a=4.7901 b=4.7901 c=4.8567 alpha=90.00 beta=90.00 gamma=90.00
With the nearest neighbours (Å) after each atom.
Atoms (fractional coordinates):
Nb: 0.0000 0.0000 0.0000  4 S 2.40, 2 Cl 2.43
S: 0.0000 0.5000 0.0000  2 Nb 2.40
S: 0.5000 0.0000 0.0000  2 Nb 2.40
Ga: 0.5000 0.5000 0.5000  4 Cl 3.39, 8 S 3.41
Cl: 0.0000 0.0000 0.5000  2 Nb 2.43

=====

# 3
The following is a DFT calculation (GGA-PBEsol) of Na2NbIn2 after structural relaxation.

Symmetry: No. 123
M_tot (μB/f.u.): 1.35
Formation energy from the elements (kJ per mole of atoms): 66.03

Unit cell a=5.3773 b=5.3773 c=5.7716 alpha=90.00 beta=90.00 gamma=90.00
With the nearest neighbours (Å) after each atom.
Atoms (fractional coordinates):
Na: 0.5000 0.5000 0.5000  4 Na 3.80, 8 In 3.94
Na: 0.0000 0.0000 0.5000  2 Nb 2.89
Nb: 0.0000 0.0000 0.0000  4 In 2.69, 2 Na 2.89
In: 0.0000 0.5000 0.0000  2 Nb 2.69
In: 0.5000 0.0000 0.0000  2 Nb 2.69

=====

Question: The highest M_tot belongs to which entry?
Answer: Na2NbIn2